Record 1
Crystalline TlOs2Br at its relaxed geometry, computed with PBE-GGA.

Total DFT energy (no corrections) (eV per atom): -5.267
Uncorrected formation energy (eV per atom): 1.36

CIF file:
```
data_TlOs2Br
_chemical_formula_sum 'Tl1 Os2 Br1'
_symmetry_space_group_name_H-M 'P 1'
_symmetry_Int_Tables_number 1
_cell_length_a 4.601
_cell_length_b 3.027
_cell_length_c 5.478
_cell_angle_alpha 91.78
_cell_angle_beta 90.00
_cell_angle_gamma 90.00
loop_
_symmetry_equiv_pos_as_xyz
'x,y,z'
loop_
_atom_site_label
_atom_site_fract_x
_atom_site_fract_y
_atom_site_fract_z
Os1 0.000 0.484 0.555
Os2 0.000 0.016 0.945
Br1 0.500 0.750 0.750
Tl1 0.500 0.250 0.250
```


Record 2
Crystalline LiPmSe2 at its relaxed geometry, computed with PBE-GGA.

Total DFT energy (no corrections) (eV per atom): -5.003
Uncorrected formation energy (eV per atom): -1.59

CIF file:
```
data_LiPmSe2
_chemical_formula_sum 'Li4 Pm4 Se8'
_symmetry_space_group_name_H-M 'P 1'
_symmetry_Int_Tables_number 1
_cell_length_a 7.478
_cell_length_b 7.347
_cell_length_c 7.369
_cell_angle_alpha 90.00
_cell_angle_beta 82.32
_cell_angle_gamma 90.00
loop_
_symmetry_equiv_pos_as_xyz
'x,y,z'
loop_
_atom_site_label
_atom_site_fract_x
_atom_site_fract_y
_atom_site_fract_z
Pm1 0.283 0.934 0.820
Pm2 0.717 0.066 0.180
Pm3 0.217 0.434 0.180
Se1 0.987 0.762 0.073
Se2 0.513 0.262 0.927
Li1 0.132 0.332 0.614
Li2 0.368 0.832 0.386
Se3 0.132 0.670 0.580
Se4 0.632 0.830 0.580
Li3 0.632 0.168 0.614
Li4 0.868 0.668 0.386
Se5 0.868 0.330 0.420
Pm4 0.783 0.566 0.820
Se6 0.487 0.738 0.073
Se7 0.013 0.238 0.927
Se8 0.368 0.170 0.420
```


Record 3
Crystalline DyThTc at its relaxed geometry, computed with PBE-GGA.

Total DFT energy (no corrections) (eV per atom): -7.414

CIF file:
```
data_DyThTc
_chemical_formula_sum 'Dy2 Th2 Tc2'
_symmetry_space_group_name_H-M 'P 1'
_symmetry_Int_Tables_number 1
_cell_length_a 4.680
_cell_length_b 4.677
_cell_length_c 8.813
_cell_angle_alpha 105.41
_cell_angle_beta 90.00
_cell_angle_gamma 120.02
loop_
_symmetry_equiv_pos_as_xyz
'x,y,z'
loop_
_atom_site_label
_atom_site_fract_x
_atom_site_fract_y
_atom_site_fract_z
Dy1 0.632 0.264 0.896
Tc1 0.083 0.166 0.250
Th1 0.787 0.575 0.362
Tc2 0.917 0.834 0.750
Th2 0.213 0.425 0.638
Dy2 0.368 0.736 0.104
```


Record 4
Crystalline TiFeS2N at its relaxed geometry, computed with PBE-GGA.

Total DFT energy (no corrections) (eV per atom): -6.577
Uncorrected formation energy (eV per atom): 0.01

CIF file:
```
data_TiFeS2N
_chemical_formula_sum 'Ti1 Fe1 S2 N1'
_symmetry_space_group_name_H-M 'P 1'
_symmetry_Int_Tables_number 1
_cell_length_a 4.570
_cell_length_b 4.570
_cell_length_c 3.394
_cell_angle_alpha 90.00
_cell_angle_beta 90.00
_cell_angle_gamma 90.00
loop_
_symmetry_equiv_pos_as_xyz
'x,y,z'
loop_
_atom_site_label
_atom_site_fract_x
_atom_site_fract_y
_atom_site_fract_z
S1 0.500 0.000 0.000
Fe1 0.000 0.000 0.000
N1 0.000 0.000 0.500
Ti1 0.500 0.500 0.500
S2 0.000 0.500 0.000
```


Record 5
Crystalline LaGaRhO6 at its relaxed geometry, computed with PBE-GGA.

Total DFT energy (no corrections) (eV per atom): -6.654
Uncorrected formation energy (eV per atom): -1.65

CIF file:
```
data_LaGaRhO6
_chemical_formula_sum 'La1 Ga1 Rh1 O6'
_symmetry_space_group_name_H-M 'P 1'
_symmetry_Int_Tables_number 1
_cell_length_a 5.209
_cell_length_b 5.209
_cell_length_c 5.188
_cell_angle_alpha 90.00
_cell_angle_beta 90.00
_cell_angle_gamma 60.00
loop_
_symmetry_equiv_pos_as_xyz
'x,y,z'
loop_
_atom_site_label
_atom_site_fract_x
_atom_site_fract_y
_atom_site_fract_z
O1 0.006 0.367 0.289
O2 0.367 0.006 0.711
La1 0.000 0.000 0.000
O3 0.627 0.006 0.289
O4 0.006 0.627 0.711
Ga1 0.667 0.667 0.500
O5 0.627 0.367 0.711
Rh1 0.333 0.333 0.500
O6 0.367 0.627 0.289
```


Record 6
Crystalline Tl4Sn4Pb at its relaxed geometry, computed with PBE-GGA.

Total DFT energy (no corrections) (eV per atom): -3.216

CIF file:
```
data_Tl4Sn4Pb
_chemical_formula_sum 'Tl4 Sn4 Pb1'
_symmetry_space_group_name_H-M 'P 1'
_symmetry_Int_Tables_number 1
_cell_length_a 5.041
_cell_length_b 7.724
_cell_length_c 7.725
_cell_angle_alpha 83.96
_cell_angle_beta 70.96
_cell_angle_gamma 70.96
loop_
_symmetry_equiv_pos_as_xyz
'x,y,z'
loop_
_atom_site_label
_atom_site_fract_x
_atom_site_fract_y
_atom_site_fract_z
Sn1 0.162 0.176 0.000
Sn2 0.162 0.500 0.676
Pb1 0.500 0.500 0.000
Tl1 0.829 0.171 0.671
Tl2 0.171 0.829 0.329
Sn3 0.838 0.824 0.000
Tl3 0.500 0.829 0.671
Sn4 0.838 0.500 0.324
Tl4 0.500 0.171 0.329
```